Entry 1:
Co2BiSe2 | PBE-GGA | relaxed

Values from the calculation:
The value obtained for the size of the total moment is 0.000 μB per atom. The value obtained for the distance to the lowest polymorph of the same formula is 0.338 eV/atom.

```
Co2BiSe2
1.0
-2.049 2.049 5.284
2.049 -2.049 5.284
2.049 2.049 -5.284
Co Bi Se
2 1 2
Direct
0.122 0.122 0.000
0.878 0.878 0.000
0.500 0.500 0.000
0.250 0.750 0.500
0.750 0.250 0.500
```

Entry 2:
DyThAu | PBE-GGA | relaxed

Values from the calculation:
As for the formation enthalpy at 0 K: -224 meV per atom. The value obtained for the size of the total moment is 0.000 μB per atom. The value obtained for the distance to the lowest polymorph of the same formula is 0.217 eV/atom.

```
DyThAu
1.0
4.988 0.000 0.000
-2.494 4.320 0.000
0.000 0.000 3.861
Dy Th Au
1 1 1
Direct
0.000 0.000 0.000
0.333 0.667 0.527
0.667 0.333 0.147
```

Entry 3:
La2AlSb | PBE-GGA | relaxed

Values from the calculation:
The value obtained for the size of the total moment is 0.000 μB per atom. The value obtained for the distance to the lowest polymorph of the same formula is 0.119 eV/atom.

```
La2AlSb
1.0
-2.096 2.495 5.492
2.096 -2.495 5.492
2.096 2.495 -5.492
La Al Sb
2 1 1
Direct
0.000 0.000 0.000
0.734 0.234 0.500
0.460 0.460 0.000
0.268 0.768 0.500
```

| no. | N(E_F) (states/eV/atom) |
| --- | --- |
| 1 | 1.27 |
| 2 | 1.47 |
| 3 | 0.87 |